The following is a PBE-GGA calculation of AlTcRh2 after structural relaxation, from Alexandria via LeMat-Bulk.

Calculated values
Formation enthalpy at 0 K, eV/atom: -0.520
N(E_F), states/eV/atom: 0.298

a b c (Å): 2.788 2.788 7.173
angles (deg): 90.00 90.00 90.00
Space group P4/mmm (No. 123)
Inequivalent atoms, fractional coordinates:
Al (0.000, 0.000, 0.000) [1 per cell]
Tc (0.000, 0.000, 0.500) [1 per cell]
Rh (0.500, 0.500, 0.236) [2 per cell]

The following is a PBE-GGA calculation of AlTcRh2 after structural relaxation, from Alexandria via LeMat-Bulk.

Calculated values
Formation enthalpy at 0 K, eV/atom: -0.321
N(E_F), states/eV/atom: 0.811

a b c (Å): 2.869 4.397 9.012
angles (deg): 90.00 90.00 90.00
Space group Imm2 (No. 44)
Inequivalent atoms, fractional coordinates:
Al (0.000, 0.000, 0.000) [2 per cell]
Tc (0.000, 0.500, 0.265) [2 per cell]
Rh (0.000, 0.000, 0.504) [2 per cell]
Rh (0.000, 0.500, 0.720) [2 per cell]

The following is a PBE-GGA calculation of Al2TcRh after structural relaxation, from Alexandria via LeMat-Bulk.

Calculated values
Formation enthalpy at 0 K, eV/atom: 0.323
N(E_F), states/eV/atom: 0.943

a b c (Å): 2.720 4.739 9.955
angles (deg): 90.00 90.00 90.00
Space group Immm (No. 71)
Inequivalent atoms, fractional coordinates:
Al (0.000, 0.000, 0.240) [4 per cell]
Tc (0.000, 0.000, 0.500) [2 per cell]
Rh (0.000, 0.000, 0.000) [2 per cell]

The following is a PBE-GGA calculation of UAlTcRh after structural relaxation, from Alexandria via LeMat-Bulk.

Calculated values
Formation enthalpy at 0 K, eV/atom: -0.409
N(E_F), states/eV/atom: 1.696

a b c (Å): 6.492 6.492 6.492
angles (deg): 90.00 90.00 90.00
Space group F-43m (No. 216)
Inequivalent atoms, fractional coordinates:
U (0.000, 0.000, 0.000) [4 per cell]
Al (0.000, 0.000, 0.500) [4 per cell]
Tc (0.250, 0.250, 0.250) [4 per cell]
Rh (0.250, 0.250, 0.750) [4 per cell]